Entry 1:
First-principles (PBE-GGA) data for a relaxed Sr2PuMgS5 crystal, as listed in Alexandria.

Values from the calculation:
Density of states at the Fermi level in states/eV/cell: 19.6
Raw total energy in eV per atom: -6.15
Crystal system: orthorhombic
Formation energy without anion corrections in eV/atom: -1.709

Geometry as POSCAR:
```
Sr2PuMgS5
1.0
-3.775 -1.319 -0.924
4.939 -7.130 -0.886
-1.978 -2.886 12.198
S Mg Sr Pu
10 2 4 2
direct
0.629 0.258 0.499
0.503 0.006 0.274
0.306 0.612 0.381
0.720 0.440 0.156
0.371 0.742 0.999
0.280 0.560 0.656
0.941 0.882 0.554
0.059 0.118 0.054
0.694 0.388 0.881
0.497 0.994 0.774
0.469 0.939 0.457
0.531 0.061 0.957
0.128 0.256 0.305
0.101 0.202 0.681
0.899 0.798 0.181
0.872 0.744 0.805
0.214 0.428 0.016
0.786 0.572 0.516
```


Entry 2:
First-principles (PBE-GGA) data for a relaxed PuMg2Tl3S6 crystal, as listed in Alexandria.

Values from the calculation:
Density of states at the Fermi level in states/eV/cell: 10.1
Raw total energy in eV per atom: -5.05
Crystal system: monoclinic
Formation energy without anion corrections in eV/atom: -0.931

Geometry as POSCAR:
```
PuMg2Tl3S6
1.0
-0.214 6.596 -1.119
-4.444 -2.835 4.125
6.154 -0.123 4.743
S Tl Mg Pu
6 3 2 1
direct
0.735 0.735 0.195
0.936 0.606 0.809
0.265 0.265 0.805
0.064 0.394 0.191
0.394 0.064 0.191
0.606 0.936 0.809
0.832 0.168 0.500
0.500 0.500 0.500
0.168 0.832 0.500
0.334 0.666 0.000
0.666 0.334 0.000
0.000 0.000 0.000
```


Entry 3:
First-principles (PBE-GGA) data for a relaxed Pu2MgSb crystal, as listed in Alexandria.

Values from the calculation:
Density of states at the Fermi level in states/eV/cell: 12.6
ΔE to the lowest computed polymorph in eV per formula unit: 0.00
Raw total energy in eV per atom: -8.90
Crystal system: tetragonal
Formation energy without anion corrections in eV/atom: -0.302

Geometry as POSCAR:
```
Pu2MgSb
1.0
-0.447 -3.856 -2.720
3.623 -1.909 2.110
-2.812 -1.880 3.127
Pu Sb Mg
2 1 1
direct
0.000 0.000 0.500
0.000 0.500 0.000
0.500 0.000 0.000
0.500 0.500 0.500
```